[1]
TbSmYHo: optimized geometry, PBE-GGA.

Calculated values
**E_form**: 0.0192 eV/atom
**Fermi-level density of states**: 5.8 states/eV/f.u.
**Relative energy among the computed polymorphs**: 0.0000 eV/atom

Cell lengths 5.0564, 5.0564, 10.0748 Å; angles 90.00, 90.00, 90.00 degrees
Closest atoms and distances in Å follow each position.
Space group I-4m2 (No. 119)
Symmetry-distinct sites (fractional):
Tb1 0.0000 0.0000 0.0000  4 Sm 3.57, 4 Y 3.57, 4 Ho 3.58
Sm1 0.0000 0.5000 0.7500  4 Tb 3.57, 4 Ho 3.57, 4 Y 3.58
Y1 0.0000 0.5000 0.2500  4 Tb 3.57, 4 Ho 3.57, 4 Sm 3.58
Ho1 0.0000 0.0000 0.5000  4 Sm 3.57, 4 Y 3.57, 4 Tb 3.58


[2]
La2ReW: optimized geometry, PBE-GGA.

Calculated values
**E_form**: 0.4044 eV/atom
**Fermi-level density of states**: 4.8 states/eV/f.u.
**Relative energy among the computed polymorphs**: 0.2054 eV/atom

Cell lengths 3.1891, 4.1414, 7.9346 Å; angles 90.00, 96.29, 90.00 degrees
Closest atoms and distances in Å follow each position.
Space group Pm (No. 6)
Symmetry-distinct sites (fractional):
La1 0.0000 0.0000 0.0000  1 W 2.97, 2 Re 3.06, 2 La 3.19
La2 0.2624 0.5000 0.6037  1 Re 2.97, 2 W 3.11, 2 La 3.19
Re1 0.4380 0.5000 0.2438  2 W 2.49
W1 0.7997 0.0000 0.3569  2 Re 2.49